Entry 1:
This record from Alexandria via LeMat-Bulk describes a crystal of CrTeIr2 relaxed with PBEsol. The functional is SCAN.

Output
volume	62.2	Å³/cell
DOS(E_F)	2.8	states/eV/f.u.
E_form (uncorrected)	0.3470	eV/atom
DFT total energy	-196.446	eV for the cell shown

abc: 2.8804 4.6456 4.6508
angles: 90.00 90.00 90.00
Each line ends with the local moment (μB).
Element x y z (fractional)
Cr 0.0000 0.5000 0.5000  3.14
Ir 0.0000 0.0000 0.0000  -0.04
Ir 0.5000 0.0000 0.5000  -0.12
Te 0.5000 0.5000 0.0000  -0.09


Entry 2:
This record from Alexandria via LeMat-Bulk describes a crystal of Ti2CrIr relaxed with PBEsol. The functional is SCAN.

Output
volume	55.6	Å³/cell
energy of formation from the pure elements	-286.4	kJ/mol of formula units
DOS(E_F)	3.0	states/eV/f.u.
DFT total energy	-124.511	eV for the cell shown

abc: 4.2836 4.2836 4.2836
angles: 60.00 60.00 60.00
Each line ends with the local moment (μB).
Element x y z (fractional)
Cr 0.5000 0.5000 0.5000  1.46
Ir 0.0000 0.0000 0.0000  0.07
Ti 0.2500 0.2500 0.2500  -0.36
Ti 0.7500 0.7500 0.7500  -0.36


Entry 3:
This record from Alexandria via LeMat-Bulk describes a crystal of Y2TiCrIr relaxed with PBEsol. The functional is SCAN.

Output
volume	103.6	Å³/cell
energy of formation from the pure elements	287.2	kJ/mol of formula units
DOS(E_F)	3.5	states/eV/f.u.
DFT total energy	-158.222	eV for the cell shown

abc: 4.2030 4.9644 4.9644
angles: 90.00 90.00 90.00
Element x y z (fractional)
Y 0.0000 0.0000 0.5000
Y 0.0000 0.5000 0.0000
Cr 0.0000 0.0000 0.0000
Ir 0.5000 0.5000 0.5000
Ti 0.5000 0.0000 0.0000


Entry 4:
This record from Alexandria via LeMat-Bulk describes a crystal of TlCrIr2 relaxed with PBEsol. The functional is SCAN.

Output
volume	62.0	Å³/cell
energy of formation from the pure elements	144.6	kJ/mol of formula units
DOS(E_F)	4.0	states/eV/f.u.
ΔE to the lowest computed polymorph	0.165	eV per atom
DFT total energy	-231.443	eV for the cell shown

abc: 2.8021 2.8021 9.2573
angles: 81.30 81.30 60.00
Element x y z (fractional)
Cr 0.0000 0.0000 0.0000
Ir 0.2619 0.2619 0.2143
Ir 0.7381 0.7381 0.7857
Tl 0.5000 0.5000 0.5000


Entry 5:
This record from Alexandria via LeMat-Bulk describes a crystal of TlCrIr2 relaxed with PBEsol. The functional is SCAN.

Output
volume	60.7	Å³/cell
energy of formation from the pure elements	180.6	kJ/mol of formula units
DOS(E_F)	3.3	states/eV/f.u.
ΔE to the lowest computed polymorph	0.259	eV per atom
DFT total energy	-231.069	eV for the cell shown

abc: 2.8019 2.8019 7.7322
angles: 90.00 90.00 90.00
Element x y z (fractional)
Cr 0.5000 0.5000 0.7809
Ir 0.0000 0.0000 0.9805
Ir 0.5000 0.5000 0.2307
Tl 0.0000 0.0000 0.5079


Entry 6:
This record from Alexandria via LeMat-Bulk describes a crystal of Tl2CrIr relaxed with PBEsol. The functional is SCAN.

Output
volume	73.3	Å³/cell
energy of formation from the pure elements	197.6	kJ/mol of formula units
DOS(E_F)	2.3	states/eV/f.u.
ΔE to the lowest computed polymorph	0.077	eV per atom
DFT total energy	-232.153	eV for the cell shown

abc: 4.0610 4.0610 5.2920
angles: 112.56 112.56 90.00
Each line ends with the local moment (μB).
Element x y z (fractional)
Cr 0.5000 0.5000 0.0000  3.85
Ir 0.2500 0.7500 0.5000  0.33
Tl 0.0000 0.0000 0.0000  0.01
Tl 0.7500 0.2500 0.5000  0.01


Entry 7:
This record from Alexandria via LeMat-Bulk describes a crystal of TlCrIr2 relaxed with PBEsol. The functional is SCAN.

Output
volume	60.5	Å³/cell
energy of formation from the pure elements	80.8	kJ/mol of formula units
DOS(E_F)	2.9	states/eV/f.u.
ΔE to the lowest computed polymorph	0.000	eV per atom
DFT total energy	-232.104	eV for the cell shown

abc: 2.8090 2.8090 7.6723
angles: 90.00 90.00 90.00
Element x y z (fractional)
Cr 0.5000 0.5000 0.5000
Ir 0.0000 0.0000 0.7106
Ir 0.0000 0.0000 0.2894
Tl 0.5000 0.5000 0.0000


Entry 8:
This record from Alexandria via LeMat-Bulk describes a crystal of Tl2CrIr relaxed with PBEsol. The functional is SCAN.

Output
volume	71.6	Å³/cell
energy of formation from the pure elements	167.9	kJ/mol of formula units
DOS(E_F)	2.4	states/eV/f.u.
ΔE to the lowest computed polymorph	0.000	eV per atom
DFT total energy	-232.460	eV for the cell shown

abc: 4.6618 4.6618 4.6618
angles: 60.00 60.00 60.00
Each line ends with the local moment (μB).
Element x y z (fractional)
Cr 0.0000 0.0000 0.0000  3.78
Ir 0.5000 0.5000 0.5000  -0.09
Tl 0.7500 0.7500 0.7500  -0.05
Tl 0.2500 0.2500 0.2500  -0.05


Entry 9:
This record from Alexandria via LeMat-Bulk describes a crystal of CrIrW2 relaxed with PBEsol. The functional is SCAN.

Output
volume	57.3	Å³/cell
energy of formation from the pure elements	13.7	kJ/mol of formula units
DOS(E_F)	3.0	states/eV/f.u.
DFT total energy	-228.718	eV for the cell shown

abc: 2.6990 4.3382 4.9282
angles: 90.00 96.94 90.00
Element x y z (fractional)
Cr 0.4088 0.0000 0.4725
Ir 0.3740 0.5000 0.7643
W 0.9762 0.0000 0.9834
W 0.7409 0.5000 0.2798


Entry 10:
This record from Alexandria via LeMat-Bulk describes a crystal of Cr4IrW relaxed with PBEsol. The functional is SCAN.

Output
volume	73.8	Å³/cell
energy of formation from the pure elements	-20.2	kJ/mol of formula units
DOS(E_F)	5.3	states/eV/f.u.
DFT total energy	-214.535	eV for the cell shown

abc: 4.7084 4.7084 4.7084
angles: 60.00 60.00 60.00
Element x y z (fractional)
Cr 0.3737 0.3737 0.3737
Cr 0.3737 0.3737 0.8790
Cr 0.8790 0.3737 0.3737
Cr 0.3737 0.8790 0.3737
Ir 0.7500 0.7500 0.7500
W 0.0000 0.0000 0.0000


Entry 11:
This record from Alexandria via LeMat-Bulk describes a crystal of YZr2CrIr relaxed with PBEsol. The functional is SCAN.

Output
volume	104.1	Å³/cell
energy of formation from the pure elements	285.9	kJ/mol of formula units
DOS(E_F)	4.1	states/eV/f.u.
DFT total energy	-175.761	eV for the cell shown

abc: 4.6134 4.6134 4.8922
angles: 90.00 90.00 90.00
Element x y z (fractional)
Y 0.0000 0.0000 0.5000
Cr 0.0000 0.0000 0.0000
Ir 0.5000 0.5000 0.5000
Zr 0.0000 0.5000 0.0000
Zr 0.5000 0.0000 0.0000


Entry 12:
This record from Alexandria via LeMat-Bulk describes a crystal of ZnCrIr2 relaxed with PBEsol. The functional is SCAN.

Output
volume	53.4	Å³/cell
energy of formation from the pure elements	-0.8	kJ/mol of formula units
DOS(E_F)	4.2	states/eV/f.u.
DFT total energy	-174.106	eV for the cell shown

abc: 2.6755 2.6755 8.7471
angles: 81.20 81.20 60.00
Element x y z (fractional)
Cr 0.2516 0.2516 0.2452
Ir 0.9951 0.9951 0.0146
Ir 0.7518 0.7518 0.7446
Zn 0.5014 0.5014 0.4957